A plane-wave DFT calculation with PBE was carried out for a geometry-optimized NaLaRu2 structure.

## Properties
energy relative to the lowest polymorph listed for this composition: 0 kJ/mol of formula units
total DFT energy (no corrections): -5.634 eV per atom

a b c (Å): 4.7559 4.7559 4.7559
angles (deg): 60.00 60.00 60.00
With the nearest neighbours (Å) after each atom.
Sites, in units of the cell vectors:
Ru 0.2500 0.2500 0.2500  4 La 2.91, 4 Na 2.91
Ru 0.7500 0.7500 0.7500  4 La 2.91, 4 Na 2.91
Na 0.0000 0.0000 0.0000  8 Ru 2.91
La 0.5000 0.5000 0.5000  8 Ru 2.91

---

A plane-wave DFT calculation with PBE was carried out for a geometry-optimized NaLa3Ru structure.

## Properties
energy relative to the lowest polymorph listed for this composition: 380 kJ/mol of formula units
total DFT energy (no corrections): -4.444 eV per atom

a b c (Å): 4.8266 4.8266 17.5941
angles (deg): 90.00 90.00 120.00
With the nearest neighbours (Å) after each atom.
Sites, in units of the cell vectors:
Ru 0.0000 0.0000 0.0000  6 La 3.01
Ru 0.0000 0.0000 0.5000  6 La 3.01
Na 0.3333 0.6667 0.7500  3 La 2.79
Na 0.6667 0.3333 0.2500  3 La 2.79
La 0.0000 0.0000 0.2500  3 Na 2.79
La 0.0000 0.0000 0.7500  3 Na 2.79
La 0.3333 0.6667 0.9356  3 Ru 3.01, 1 Na 3.27
La 0.3333 0.6667 0.5644  3 Ru 3.01, 1 Na 3.27
La 0.6667 0.3333 0.4356  3 Ru 3.01, 1 Na 3.27
La 0.6667 0.3333 0.0644  3 Ru 3.01, 1 Na 3.27

---

A plane-wave DFT calculation with PBE was carried out for a geometry-optimized NaLa3Ru structure.

## Properties
energy relative to the lowest polymorph listed for this composition: 202 kJ/mol of formula units
total DFT energy (no corrections): -4.813 eV per atom

a b c (Å): 4.4092 4.4092 10.0792
angles (deg): 90.00 90.00 90.00
With the nearest neighbours (Å) after each atom.
Sites, in units of the cell vectors:
Ru 0.5000 0.5000 0.6213  8 La 3.00-3.22
Na 0.0000 0.0000 0.1002  5 La 3.90-4.01
La 0.0000 0.0000 0.7026  4 Ru 3.22, 4 La 3.60
La 0.5000 0.0000 0.4198  2 Ru 3.00, 4 La 3.12
La 0.0000 0.5000 0.4198  2 Ru 3.00, 4 La 3.12

---

A plane-wave DFT calculation with PBE was carried out for a geometry-optimized NaLa3Ru structure.

## Properties
energy relative to the lowest polymorph listed for this composition: 202 kJ/mol of formula units
total DFT energy (no corrections): -4.814 eV per atom

a b c (Å): 6.5172 6.5172 9.8779
angles (deg): 70.74 70.74 90.00
With the nearest neighbours (Å) after each atom.
Sites, in units of the cell vectors:
Ru 0.0000 0.0000 0.0000  4 La 2.60
Ru 0.2500 0.7500 0.5000  4 La 2.86
Na 0.5820 0.0820 0.8360  2 Ru 3.56, 6 La 3.70-3.78
Na 0.9180 0.4180 0.1640  2 Ru 3.56, 6 La 3.70-3.78
La 0.6302 0.8859 0.2282  2 Ru 2.60-2.86
La 0.1141 0.3698 0.7718  2 Ru 2.60-2.86
La 0.1141 0.8584 0.7718  2 Ru 2.60-2.86
La 0.1416 0.8859 0.2282  2 Ru 2.60-2.86
La 0.2834 0.2834 0.4331  2 Ru 3.31, 2 La 3.40
La 0.7166 0.7166 0.5669  2 Ru 3.31, 2 La 3.40

---

A plane-wave DFT calculation with PBE was carried out for a geometry-optimized NaLa3Ru structure.

## Properties
energy relative to the lowest polymorph listed for this composition: 24 kJ/mol of formula units
total DFT energy (no corrections): -5.182 eV per atom

a b c (Å): 24.0866 7.4949 9.3985
angles (deg): 90.00 156.69 90.00
With the nearest neighbours (Å) after each atom.
Sites, in units of the cell vectors:
Ru 0.0259 0.2056 0.5734  5 La 2.66-2.96
Ru 0.9741 0.7944 0.4266  5 La 2.66-2.96
Ru 0.4741 0.7056 0.9266  5 La 2.66-2.96
Ru 0.5259 0.2944 0.0734  5 La 2.66-2.96
Na 0.4697 0.7087 0.4621  1 Na 3.24, 2 La 3.60-3.62
Na 0.5303 0.2913 0.5379  1 Na 3.24, 2 La 3.60-3.62
Na 0.0303 0.2087 0.0379  1 Na 3.24, 2 La 3.60-3.62
Na 0.9697 0.7913 0.9621  1 Na 3.24, 2 La 3.60-3.62
La 0.1783 0.0162 0.7496  2 Ru 2.66-2.96
La 0.8217 0.9838 0.2504  2 Ru 2.66-2.96
La 0.3217 0.5162 0.7504  2 Ru 2.66-2.96
La 0.6783 0.4838 0.2496  2 Ru 2.66-2.96
La 0.2945 0.3436 0.3243  2 Ru 2.95-2.98
La 0.7055 0.6564 0.6757  2 Ru 2.95-2.98
La 0.2055 0.8436 0.1757  2 Ru 2.95-2.98
La 0.7945 0.1564 0.8243  2 Ru 2.95-2.98
La 0.5814 0.9889 0.0152  2 Ru 2.82-2.94
La 0.4186 0.0111 0.9848  2 Ru 2.82-2.94
La 0.9186 0.4889 0.4848  2 Ru 2.82-2.94
La 0.0814 0.5111 0.5152  2 Ru 2.82-2.94

---

A plane-wave DFT calculation with PBE was carried out for a geometry-optimized NaLa3Ru structure.

## Properties
energy relative to the lowest polymorph listed for this composition: 131 kJ/mol of formula units
total DFT energy (no corrections): -4.961 eV per atom

a b c (Å): 5.5407 5.5407 5.5407
angles (deg): 83.93 83.93 83.93
With the nearest neighbours (Å) after each atom.
Sites, in units of the cell vectors:
Ru 0.0082 0.0082 0.0082  3 La 2.57, 1 Na 2.79
Na 0.2726 0.2726 0.2726  1 Ru 2.79
La 0.7027 0.1887 0.7027  1 Ru 2.57
La 0.1887 0.7027 0.7027  1 Ru 2.57
La 0.7027 0.7027 0.1887  1 Ru 2.57

---

A plane-wave DFT calculation with PBE was carried out for a geometry-optimized NaLa3Ru structure.

## Properties
energy relative to the lowest polymorph listed for this composition: 194 kJ/mol of formula units
total DFT energy (no corrections): -4.830 eV per atom

a b c (Å): 4.6023 4.6023 21.9125
angles (deg): 90.00 90.00 120.00
With the nearest neighbours (Å) after each atom.
Sites, in units of the cell vectors:
Ru 0.3333 0.6667 0.7500  5 La 2.66-2.73
Ru 0.6667 0.3333 0.2500  5 La 2.66-2.73
Na 0.0000 0.0000 0.0000  6 La 3.82
Na 0.0000 0.0000 0.5000  6 La 3.82
La 0.0000 0.0000 0.2500  3 Ru 2.66
La 0.0000 0.0000 0.7500  3 Ru 2.66
La 0.3333 0.6667 0.8746  1 Ru 2.73
La 0.3333 0.6667 0.6254  1 Ru 2.73
La 0.6667 0.3333 0.3746  1 Ru 2.73
La 0.6667 0.3333 0.1254  1 Ru 2.73

---

A plane-wave DFT calculation with PBE was carried out for a geometry-optimized NaLa3Ru structure.

## Properties
energy relative to the lowest polymorph listed for this composition: 331 kJ/mol of formula units
total DFT energy (no corrections): -4.546 eV per atom

a b c (Å): 9.8815 9.8815 6.2187
angles (deg): 90.00 90.00 142.16
With the nearest neighbours (Å) after each atom.
Sites, in units of the cell vectors:
Ru 0.4734 0.5266 0.2500  2 La 2.55
Ru 0.5266 0.4734 0.7500  2 La 2.55
Na 0.1877 0.8123 0.2500  8 La 3.66-3.84
Na 0.8123 0.1877 0.7500  8 La 3.66-3.84
La 0.1237 0.3935 0.2500  1 Ru 2.55
La 0.6065 0.8763 0.2500  1 Ru 2.55
La 0.3935 0.1237 0.7500  1 Ru 2.55
La 0.8763 0.6065 0.7500  1 Ru 2.55
La 0.0000 0.0000 0.0000  6 La 3.11-3.39
La 0.0000 0.0000 0.5000  6 La 3.11-3.39

---

A plane-wave DFT calculation with PBE was carried out for a geometry-optimized NaLa2ScRu structure.

## Properties
total DFT energy (no corrections): -5.434 eV per atom

a b c (Å): 5.6028 5.6028 5.1846
angles (deg): 90.00 90.00 90.00
With the nearest neighbours (Å) after each atom.
Sites, in units of the cell vectors:
Sc 0.0000 0.0000 0.5000  2 Ru 2.59
Ru 0.0000 0.0000 0.0000  2 Sc 2.59, 4 La 2.80
Na 0.5000 0.5000 0.5000  8 La 3.82, 4 Sc 3.96
La 0.0000 0.5000 0.0000  2 Ru 2.80
La 0.5000 0.0000 0.0000  2 Ru 2.80

---

A plane-wave DFT calculation with PBE was carried out for a geometry-optimized NaLa2SnRu structure.

## Properties
total DFT energy (no corrections): -5.170 eV per atom

a b c (Å): 5.5195 5.5195 5.2530
angles (deg): 90.00 90.00 90.00
With the nearest neighbours (Å) after each atom.
Sites, in units of the cell vectors:
Ru 0.0000 0.0000 0.0000  2 Sn 2.63, 4 La 2.76
Na 0.5000 0.5000 0.5000  8 La 3.81, 4 Sn 3.90
Sn 0.0000 0.0000 0.5000  2 Ru 2.63
La 0.0000 0.5000 0.0000  2 Ru 2.76
La 0.5000 0.0000 0.0000  2 Ru 2.76

---

A plane-wave DFT calculation with PBE was carried out for a geometry-optimized NaSr2LaRu structure.

## Properties
total DFT energy (no corrections): -3.766 eV per atom

a b c (Å): 6.1836 6.1836 5.1653
angles (deg): 90.00 90.00 90.00
With the nearest neighbours (Å) after each atom.
Sites, in units of the cell vectors:
Ru 0.0000 0.0000 0.0000  2 La 2.58
Na 0.5000 0.5000 0.5000  8 Sr 4.03, 4 La 4.37
Sr 0.0000 0.5000 0.0000  2 Ru 3.09
Sr 0.5000 0.0000 0.0000  2 Ru 3.09
La 0.0000 0.0000 0.5000  2 Ru 2.58

---

A plane-wave DFT calculation with PBE was carried out for a geometry-optimized NaLaTlRu2 structure.

## Properties
total DFT energy (no corrections): -4.291 eV per atom

a b c (Å): 4.8710 4.8710 4.8704
angles (deg): 90.00 90.00 90.00
With the nearest neighbours (Å) after each atom.
Sites, in units of the cell vectors:
Ru 0.0000 0.5000 0.0000  2 Na 2.44
Ru 0.5000 0.0000 0.0000  2 Na 2.44
Tl 0.0000 0.0000 0.5000  2 Na 2.44
Na 0.0000 0.0000 0.0000  2 Tl 2.44, 4 Ru 2.44
La 0.5000 0.5000 0.5000  8 Ru 3.44, 4 Tl 3.44

---

no.,D(E_F) (states/eV/atom)
1,1.3886
2,1.3157
3,1.2301
4,0.4890
5,1.0440
6,1.0849
7,1.1920
8,0.8457
9,0.9716
10,1.0157
11,0.8255
12,0.9832